Here is a relaxed CaZr2Cl2 crystal from Alexandria via LeMat-Bulk. Energies are from GGA-PBE.

Values from the calculation:
Uncorrected energy, eV/cell: -24.44
Calculated volume, A^3/atom: 24.6
Mass density, Mg/m³: 3.97
Symmetry: I4/mmm
Total moment, μB per cell: 0.980

abc: 6.187 6.187 6.187
angles: 133.40 133.40 68.03
Site moments in Bohr magnetons follow the coordinates.
Positions (direct):
Ca: 0.000 0.000 0.000  0.04
Zr: 0.367 0.367 0.000  0.24
Zr: 0.633 0.633 0.000  0.24
Cl: 0.250 0.750 0.500  0.01
Cl: 0.750 0.250 0.500  0.01


Here is a relaxed AlInRe2 crystal from Alexandria via LeMat-Bulk. Energies are from GGA-PBE.

Values from the calculation:
Calculated formation energy, eV per atom: 0.47
Energy above the lowest structure with this stoichiometry, meV per atom: 370
Calculated volume, A^3/atom: 16.2
Mass density, Mg/m³: 13.15
Symmetry: P4/mmm
Total moment, μB per cell: 0.000

abc: 2.801 2.801 8.279
angles: 90.00 90.00 90.00
Positions (direct):
In: 0.500 0.500 0.750
Re: 0.000 0.000 0.480
Re: 0.000 0.000 0.020
Al: 0.500 0.500 0.250


Here is a relaxed K3La2TmS6 crystal from Alexandria via LeMat-Bulk. Energies are from GGA-PBE.

Values from the calculation:
Uncorrected energy, eV/cell: -65.20
Calculated volume, A^3/atom: 28.1
Mass density, Mg/m³: 3.72
Symmetry: C2/m
Total moment, μB per cell: 0.000

abc: 7.269 7.269 7.762
angles: 99.00 99.00 120.00
Positions (direct):
La: 0.667 0.333 0.000
La: 0.333 0.667 0.000
S: 0.387 0.068 0.205
S: 0.613 0.932 0.795
S: 0.932 0.613 0.795
S: 0.750 0.750 0.204
S: 0.068 0.387 0.205
S: 0.250 0.250 0.796
Tm: 0.000 0.000 0.000
K: 0.167 0.833 0.500
K: 0.833 0.167 0.500
K: 0.500 0.500 0.500


Here is a relaxed MnTl2Hg crystal from Alexandria via LeMat-Bulk. Energies are from GGA-PBE.

Values from the calculation:
Calculated formation energy, eV per atom: 0.28
Energy above the lowest structure with this stoichiometry, meV per atom: 21
Calculated volume, A^3/atom: 24.9
Mass density, Mg/m³: 11.08
Symmetry: Imm2
Total moment, μB per cell: 3.989

abc: 6.763 6.763 6.763
angles: 151.99 136.46 52.58
Site moments in Bohr magnetons follow the coordinates.
Positions (direct):
Hg: 0.448 0.448 0.000  0.01
Tl: 0.046 0.046 0.000  0.01
Tl: 0.749 0.249 0.500  -0.04
Mn: 0.256 0.756 0.500  3.85


Here is a relaxed HfVSe2 crystal from Alexandria via LeMat-Bulk. Energies are from GGA-PBE.

Values from the calculation:
Energy above the lowest structure with this stoichiometry, meV per atom: 172
Calculated volume, A^3/atom: 25.1
Mass density, Mg/m³: 6.42
Symmetry: I-42d
Total moment, μB per cell: 5.990

abc: 5.876 5.876 7.139
angles: 65.70 65.70 90.00
Site moments in Bohr magnetons follow the coordinates.
Positions (direct):
Se: 0.140 0.625 0.250  -0.02
Se: 0.610 0.125 0.250  -0.02
Se: 0.375 0.390 0.750  -0.02
Se: 0.875 0.860 0.750  -0.02
Hf: 0.750 0.250 0.500  0.17
Hf: 0.000 0.000 0.000  0.17
V: 0.500 0.500 0.000  2.39
V: 0.250 0.750 0.500  2.39


Here is a relaxed LiFe2As crystal from Alexandria via LeMat-Bulk. Energies are from GGA-PBE.

Values from the calculation:
Calculated formation energy, eV per atom: 0.28
Calculated volume, A^3/atom: 14.3
Mass density, Mg/m³: 5.63
Symmetry: I-42d
Total moment, μB per cell: 9.771

abc: 6.747 6.747 5.389
angles: 51.25 51.25 90.00
Site moments in Bohr magnetons follow the coordinates.
Positions (direct):
Fe: 0.875 0.896 0.750  2.47
Fe: 0.104 0.625 0.250  2.45
Fe: 0.375 0.354 0.750  2.50
Fe: 0.646 0.125 0.250  2.47
Li: 0.250 0.750 0.500  -0.03
Li: 0.500 0.500 0.000  -0.03
As: 0.750 0.250 0.500  -0.03
As: 0.000 0.000 0.000  -0.03


Here is a relaxed Cs3Rb4Na4 crystal from Alexandria via LeMat-Bulk. Energies are from GGA-PBE.

Values from the calculation:
Calculated formation energy, eV per atom: 0.03
Calculated volume, A^3/atom: 77.1
Mass density, Mg/m³: 1.63
Symmetry: Immm
Total moment, μB per cell: 0.000

abc: 5.804 12.542 13.550
angles: 117.57 102.37 90.00
Positions (direct):
Rb: 0.667 0.472 0.333
Rb: 0.333 0.528 0.667
Rb: 0.333 0.139 0.667
Rb: 0.667 0.861 0.333
Na: 0.241 0.741 0.483
Na: 0.500 0.827 0.000
Na: 0.759 0.259 0.517
Na: 0.500 0.173 0.000
Cs: 0.000 0.500 0.000
Cs: 0.113 0.113 0.226
Cs: 0.887 0.887 0.774


Here is a relaxed TaCdTc2 crystal from Alexandria via LeMat-Bulk. Energies are from GGA-PBE.

Values from the calculation:
Calculated formation energy, eV per atom: 0.21
Calculated volume, A^3/atom: 17.4
Mass density, Mg/m³: 11.68
Symmetry: R-3m
Total moment, μB per cell: 0.000

abc: 8.919 8.919 8.919
angles: 19.56 19.56 19.56
Positions (direct):
Cd: 0.250 0.250 0.250
Tc: 0.493 0.493 0.493
Tc: 0.007 0.007 0.007
Ta: 0.750 0.750 0.750


Here is a relaxed ZrTe2Mo crystal from Alexandria via LeMat-Bulk. Energies are from GGA-PBE.

Values from the calculation:
Energy above the lowest structure with this stoichiometry, meV per atom: 598
Calculated volume, A^3/atom: 26.9
Mass density, Mg/m³: 6.82
Symmetry: I-42d
Total moment, μB per cell: 2.494

abc: 5.050 5.050 9.170
angles: 74.02 74.02 90.00
Site moments in Bohr magnetons follow the coordinates.
Positions (direct):
Te: 0.875 0.904 0.750  -0.02
Te: 0.375 0.346 0.750  -0.02
Te: 0.096 0.625 0.250  -0.02
Te: 0.654 0.125 0.250  -0.02
Mo: 0.750 0.250 0.500  0.89
Mo: 0.000 0.000 0.000  0.89
Zr: 0.250 0.750 0.500  0.09
Zr: 0.500 0.500 0.000  0.09


Here is a relaxed Ba2ScRu2 crystal from Alexandria via LeMat-Bulk. Energies are from GGA-PBE.

Values from the calculation:
Calculated formation energy, eV per atom: 1.15
Energy above the lowest structure with this stoichiometry, meV per atom: 210
Calculated volume, A^3/atom: 28.8
Mass density, Mg/m³: 6.02
Symmetry: I4/mmm
Total moment, μB per cell: 0.000

abc: 5.280 5.280 6.371
angles: 65.52 65.52 90.00
Positions (direct):
Ru: 0.750 0.250 0.500
Ru: 0.250 0.750 0.500
Sc: 0.000 0.000 0.000
Ba: 0.348 0.348 0.304
Ba: 0.652 0.652 0.696


Here is a relaxed GdYZnRu crystal from Alexandria via LeMat-Bulk. Energies are from GGA-PBE.

Values from the calculation:
Calculated formation energy, eV per atom: -0.33
Calculated volume, A^3/atom: 21.4
Mass density, Mg/m³: 8.01
Symmetry: F-43m
Total moment, μB per cell: 7.082

abc: 4.946 4.946 4.946
angles: 60.00 60.00 60.00
Site moments in Bohr magnetons follow the coordinates.
Positions (direct):
Zn: 0.750 0.750 0.750  0.00
Ru: 0.250 0.250 0.250  -0.11
Gd: 0.000 0.000 0.000  7.03
Y: 0.500 0.500 0.500  0.01


Here is a relaxed AcPm2Zn2In2 crystal from Alexandria via LeMat-Bulk. Energies are from GGA-PBE.

Values from the calculation:
Calculated formation energy, eV per atom: -0.30
Calculated volume, A^3/atom: 28.0
Mass density, Mg/m³: 7.44
Symmetry: R-3m
Total moment, μB per cell: 0.000

abc: 4.806 4.806 10.183
angles: 76.35 76.35 60.00
Positions (direct):
Pm: 0.131 0.131 0.606
Pm: 0.869 0.869 0.394
In: 0.742 0.742 0.775
In: 0.258 0.258 0.225
Zn: 0.417 0.417 0.750
Zn: 0.583 0.583 0.250
Ac: 0.000 0.000 0.000


Here is a relaxed Nb5Tc4Mo crystal from Alexandria via LeMat-Bulk. Energies are from GGA-PBE.

Values from the calculation:
Calculated formation energy, eV per atom: -0.30
Calculated volume, A^3/atom: 16.4
Mass density, Mg/m³: 9.64
Symmetry: P4/mmm
Total moment, μB per cell: 0.000

abc: 3.199 3.199 16.032
angles: 90.00 90.00 90.00
Positions (direct):
Nb: 0.500 0.500 0.500
Nb: 0.500 0.500 0.700
Nb: 0.500 0.500 0.899
Nb: 0.500 0.500 0.101
Nb: 0.500 0.500 0.300
Tc: 0.000 0.000 0.798
Tc: 0.000 0.000 0.202
Tc: 0.000 0.000 0.401
Tc: 0.000 0.000 0.599
Mo: 0.000 0.000 0.000


Here is a relaxed LaBe2VIr crystal from Alexandria via LeMat-Bulk. Energies are from GGA-PBE.

Values from the calculation:
Calculated formation energy, eV per atom: 0.35
Calculated volume, A^3/atom: 18.5
Mass density, Mg/m³: 7.18
Symmetry: P4/mmm
Total moment, μB per cell: 0.453

abc: 4.504 4.559 4.504
angles: 90.00 90.00 90.00
Site moments in Bohr magnetons follow the coordinates.
Positions (direct):
Be: 0.000 0.000 0.500  0.02
Be: 0.500 0.000 0.000  0.03
La: 0.500 0.500 0.500  -0.02
Ir: 0.000 0.500 0.000  0.02
V: 0.000 0.000 0.000  0.38


Here is a relaxed ScBRh3 crystal from Alexandria via LeMat-Bulk. Energies are from GGA-PBE.

Values from the calculation:
Calculated formation energy, eV per atom: -0.76
Energy above the lowest structure with this stoichiometry, meV per atom: 0
Calculated volume, A^3/atom: 14.1
Mass density, Mg/m³: 8.62
Symmetry: Pm-3m
Total moment, μB per cell: 0.000

abc: 4.126 4.126 4.126
angles: 90.00 90.00 90.00
Positions (direct):
Rh: 0.500 0.000 0.000
Rh: 0.000 0.500 0.000
Rh: 0.000 0.000 0.500
Sc: 0.500 0.500 0.500
B: 0.000 0.000 0.000


Here is a relaxed BTe2N crystal from Alexandria via LeMat-Bulk. Energies are from GGA-PBE.

Values from the calculation:
Energy above the lowest structure with this stoichiometry, meV per atom: 0
Calculated volume, A^3/atom: 18.8
Mass density, Mg/m³: 6.17
Symmetry: I-42d
Total moment, μB per cell: 0.000

abc: 5.964 5.964 5.978
angles: 60.07 60.07 90.00
Positions (direct):
B: 0.250 0.750 0.500
B: 0.500 0.500 0.000
Te: 0.375 0.387 0.750
Te: 0.137 0.625 0.250
Te: 0.875 0.863 0.750
Te: 0.613 0.125 0.250
N: 0.000 0.000 0.000
N: 0.750 0.250 0.500


Here is a relaxed Dy2SiI crystal from Alexandria via LeMat-Bulk. Energies are from GGA-PBE.

Values from the calculation:
Energy above the lowest structure with this stoichiometry, meV per atom: 23
Calculated volume, A^3/atom: 28.5
Mass density, Mg/m³: 7.00
Symmetry: R3m
Total moment, μB per cell: 0.000

abc: 4.170 7.215 7.944
angles: 72.39 90.00 90.00
Positions (direct):
Dy: 0.032 0.622 0.536
Dy: 0.032 0.827 0.920
Dy: 0.532 0.327 0.921
Dy: 0.532 0.122 0.536
Si: 0.532 0.723 0.732
Si: 0.032 0.223 0.732
I: 0.032 0.393 0.223
I: 0.532 0.893 0.223


Here is a relaxed ScVMo2H crystal from Alexandria via LeMat-Bulk. Energies are from GGA-PBE.

Values from the calculation:
Uncorrected energy, eV/cell: -39.09
Calculated volume, A^3/atom: 13.8
Mass density, Mg/m³: 6.94
Symmetry: P4/mmm
Total moment, μB per cell: 0.000

abc: 4.106 4.096 4.106
angles: 90.00 90.00 90.00
Positions (direct):
V: 0.500 0.500 0.500
H: 0.000 0.000 0.000
Mo: 0.000 0.000 0.500
Mo: 0.500 0.000 0.000
Sc: 0.000 0.500 0.000


Here is a relaxed Nd4Ho2Sn3O2 crystal from Alexandria via LeMat-Bulk. Energies are from GGA-PBE.

Values from the calculation:
Uncorrected energy, eV/cell: -66.12
Calculated volume, A^3/atom: 26.6
Mass density, Mg/m³: 7.34
Symmetry: I4/mmm
Total moment, μB per cell: 0.000

abc: 4.803 4.803 13.143
angles: 100.53 100.53 90.00
Positions (direct):
O: 0.393 0.393 0.786
O: 0.607 0.607 0.214
Nd: 0.416 0.916 0.832
Nd: 0.584 0.084 0.168
Nd: 0.084 0.584 0.168
Nd: 0.916 0.416 0.832
Ho: 0.694 0.694 0.389
Ho: 0.306 0.306 0.611
Sn: 0.181 0.181 0.361
Sn: 0.819 0.819 0.639
Sn: 0.000 0.000 0.000


Here is a relaxed Cu2Pb2F crystal from Alexandria via LeMat-Bulk. Energies are from GGA-PBE.

Values from the calculation:
Uncorrected energy, eV/cell: -19.15
Calculated volume, A^3/atom: 19.2
Mass density, Mg/m³: 9.68
Symmetry: I4/mmm
Total moment, μB per cell: 0.000

abc: 3.511 3.511 8.185
angles: 77.61 77.61 90.00
Positions (direct):
Pb: 0.601 0.601 0.797
Pb: 0.399 0.399 0.203
Cu: 0.250 0.750 0.500
Cu: 0.750 0.250 0.500
F: 0.000 0.000 0.000